(1)
## ZrSBrF2 (PBE-GGA)

Data for a relaxed ZrSBrF2 crystal.

Summary:
The formation energy from raw total energies is -10.05 eV/f.u. Its total magnetic moment is 0.000 μB per atom. For the volume, the calculation gives 18.4 A^3/atom.

The structure in CIF format:
```
data_ZrSBrF2
_cell_length_a 4.267
_cell_length_b 4.267
_cell_length_c 5.050
_cell_angle_alpha 90.00
_cell_angle_beta 90.00
_cell_angle_gamma 90.00
_space_group_name_H-M_alt 'P 4/m m m'
_space_group_IT_number 123
_space_group_name_Hall '-P 4 2'
loop_
_atom_site_label
_atom_site_fract_x
_atom_site_fract_y
_atom_site_fract_z
Zr1 0.000 0.000 0.000
S1 0.000 0.000 0.500
Br1 0.500 0.500 0.500
F1 0.000 0.500 0.000
```

=====

(2)
## ZrSBr2F (PBE-GGA)

Data for a relaxed ZrSBr2F crystal.

Summary:
The formation energy from raw total energies is 0.43 eV/f.u. Its total magnetic moment is 0.421 μB per atom. For the volume, the calculation gives 23.0 A^3/atom.

The structure in CIF format:
```
data_ZrSBr2F
_cell_length_a 5.450
_cell_length_b 5.450
_cell_length_c 3.877
_cell_angle_alpha 90.00
_cell_angle_beta 90.00
_cell_angle_gamma 90.00
_space_group_name_H-M_alt 'P 4/m m m'
_space_group_IT_number 123
_space_group_name_Hall '-P 4 2'
loop_
_atom_site_label
_atom_site_fract_x
_atom_site_fract_y
_atom_site_fract_z
Zr1 0.000 0.000 0.000
S1 0.500 0.500 0.500
Br1 0.000 0.500 0.500
F1 0.500 0.500 0.000
```

=====

(3)
## SbBr2F (PBE-GGA)

Data for a relaxed SbBr2F crystal.

Summary:
The formation energy from raw total energies is -2.23 eV/f.u. Its total magnetic moment is 0.000 μB per atom. For the volume, the calculation gives 20.8 A^3/atom. As for the offset from the most stable computed form: 612 meV per atom.

The structure in CIF format:
```
data_SbBr2F
_cell_length_a 6.930
_cell_length_b 6.930
_cell_length_c 6.930
_cell_angle_alpha 90.00
_cell_angle_beta 90.00
_cell_angle_gamma 90.00
_space_group_name_H-M_alt 'F m -3 m'
_space_group_IT_number 225
_space_group_name_Hall '-F 4 2 3'
loop_
_atom_site_label
_atom_site_fract_x
_atom_site_fract_y
_atom_site_fract_z
Sb1 0.000 0.000 0.000
Br1 0.250 0.250 0.250
F1 0.000 0.000 0.500
```

=====

(4)
## SbBr2F (PBE-GGA)

Data for a relaxed SbBr2F crystal.

Summary:
The formation energy from raw total energies is -4.68 eV/f.u. Its total magnetic moment is 0.000 μB per atom. For the volume, the calculation gives 34.0 A^3/atom. As for the offset from the most stable computed form: 0 meV per atom.

The structure in CIF format:
```
data_SbBr2F
_cell_length_a 4.065
_cell_length_b 14.154
_cell_length_c 4.733
_cell_angle_alpha 90.00
_cell_angle_beta 90.00
_cell_angle_gamma 90.00
_space_group_name_H-M_alt 'I m m 2'
_space_group_IT_number 44
loop_
_space_group_symop_operation_xyz
'x,y,z'
'-x,-y,z'
'-x,y,z'
'x,-y,z'
'x+1/2,y+1/2,z+1/2'
'-x+1/2,-y+1/2,z+1/2'
'-x+1/2,y+1/2,z+1/2'
'x+1/2,-y+1/2,z+1/2'
loop_
_atom_site_label
_atom_site_fract_x
_atom_site_fract_y
_atom_site_fract_z
Sb1 0.000 0.000 0.000
Br1 0.000 0.361 0.535
F1 0.000 0.000 0.419
```